Entry 1:
Compound: HfMo3S
Source: the Alexandria database
Functional: PBE-GGA
Structure: optimized geometry

Summary:
The space group is Pm-3m, No. 221.

a = 4.820 Å, b = 4.820 Å, c = 4.820 Å
α = 90.00°, β = 90.00°, γ = 90.00°
Element x y z (fractional)
Mo 0.000 0.500 0.000
Mo 0.000 0.000 0.500
Mo 0.500 0.000 0.000
Hf 0.000 0.000 0.000
S 0.500 0.500 0.500



Entry 2:
Compound: Hf3MoS
Source: the Alexandria database
Functional: PBE-GGA
Structure: optimized geometry

Summary:
The space group is Pm-3m, No. 221.

a = 4.701 Å, b = 4.701 Å, c = 4.701 Å
α = 90.00°, β = 90.00°, γ = 90.00°
Each line ends with the local moment (μB).
Element x y z (fractional)
Mo 0.500 0.500 0.500  0.27
Hf 0.000 0.500 0.000  0.01
Hf 0.000 0.000 0.500  0.00
Hf 0.500 0.000 0.000  -0.01
S 0.000 0.000 0.000  0.00



Entry 3:
Compound: Hf6MoS
Source: the Alexandria database
Functional: PBE-GGA
Structure: optimized geometry

Summary:
The space group is P-1, No. 2.

a = 5.885 Å, b = 5.910 Å, c = 6.788 Å
α = 64.57°, β = 64.75°, γ = 59.88°
Element x y z (fractional)
Hf 0.045 0.435 0.743
Hf 0.777 0.040 0.742
Hf 0.563 0.222 0.258
Hf 0.223 0.960 0.258
Hf 0.955 0.565 0.257
Hf 0.437 0.778 0.742
Mo 0.500 0.500 0.500
S 0.000 0.000 0.000



Entry 4:
Compound: Hf9Mo4S
Source: the Alexandria database
Functional: PBE-GGA
Structure: optimized geometry

Summary:
The space group is P6_3/mmc, No. 194.

a = 8.687 Å, b = 8.687 Å, c = 8.530 Å
α = 90.00°, β = 90.00°, γ = 120.00°
Element x y z (fractional)
Hf 0.197 0.803 0.450
Hf 0.197 0.394 0.450
Hf 0.606 0.803 0.450
Hf 0.803 0.197 0.550
Hf 0.803 0.606 0.550
Hf 0.394 0.197 0.550
Hf 0.803 0.197 0.950
Hf 0.803 0.606 0.950
Hf 0.394 0.197 0.950
Hf 0.197 0.803 0.050
Hf 0.197 0.394 0.050
Hf 0.606 0.803 0.050
Hf 0.542 0.458 0.250
Hf 0.542 0.085 0.250
Hf 0.915 0.458 0.250
Hf 0.458 0.542 0.750
Hf 0.458 0.915 0.750
Hf 0.085 0.542 0.750
Mo 0.889 0.111 0.250
Mo 0.889 0.778 0.250
Mo 0.222 0.111 0.250
Mo 0.111 0.889 0.750
Mo 0.111 0.222 0.750
Mo 0.778 0.889 0.750
Mo 0.000 0.000 0.500
Mo 0.000 0.000 0.000
S 0.333 0.667 0.250
S 0.667 0.333 0.750



Uncorrected formation energy (computed, kJ/mol of formula units): 1092; -20; -17; -406